PaSnBrO4, relaxed, DFT PBE-GGA; formation energy without anion corrections = -2263 meV per atom; space group = C2/m, No. 12; VASP energy = -7.26 eV per atom; total moment = 0.00 μB per atom
1.0
6.524 0.294 0.047
2.439 6.058 0.047
1.867 1.323 6.804
Pa Sn Br O
2 2 2 8
Direct
0.246 0.246 0.866
0.754 0.754 0.134
0.633 0.633 0.730
0.367 0.367 0.270
0.001 0.001 0.238
0.999 0.999 0.762
0.303 0.303 0.558
0.697 0.697 0.442
0.088 0.485 0.150
0.555 0.555 0.177
0.515 0.912 0.850
0.485 0.088 0.150
0.445 0.445 0.823
0.912 0.515 0.850